Entry a
Material: AgBAs2Br
Method: DFT, PBE
State: optimized geometry

Geometry as POSCAR:
```
AgBAs2Br
1.0
-0.366 -2.246 4.695
4.512 -2.483 -0.836
2.504 3.861 2.043
Ag Br As B
1 1 2 1
Direct
0.000 0.000 0.500
0.000 0.000 0.000
0.000 0.500 0.000
0.500 0.000 0.000
0.500 0.500 0.500
```


Entry b
Material: AgBAs2Br
Method: DFT, PBE
State: optimized geometry

Geometry as POSCAR:
```
AgBAs2Br
1.0
4.132 0.000 0.000
0.000 4.132 0.000
0.000 0.000 8.027
Ag As B Br
1 2 1 1
Direct
0.500 0.500 0.500
0.500 0.000 0.000
0.000 0.500 0.000
0.000 0.000 0.000
0.000 0.000 0.500
```


Which structure is the most stable? The one labeled entry b.


Entry a
Material: AgBAsSe2
Method: DFT, PBE
State: optimized geometry

Geometry as POSCAR:
```
AgBAsSe2
1.0
5.171 0.000 0.000
0.000 5.171 0.000
0.000 0.000 4.865
B Se As Ag
1 2 1 1
Direct
0.500 0.500 0.500
0.500 0.000 0.000
0.000 0.500 0.000
0.000 0.000 0.500
0.000 0.000 0.000
```


Entry b
Material: AgBAsSe2
Method: DFT, PBE
State: optimized geometry

Geometry as POSCAR:
```
AgBAsSe2
1.0
4.789 0.000 0.000
0.000 4.789 0.000
0.000 0.000 4.096
Se B Ag As
2 1 1 1
Direct
0.500 0.000 0.000
0.000 0.500 0.000
0.000 0.000 0.000
0.500 0.500 0.500
0.000 0.000 0.500
```


Which structure is the most stable? The one labeled entry b.


Entry a
Material: Ba2Ag2As
Method: DFT, PBE
State: optimized geometry

Geometry as POSCAR:
```
Ba2Ag2As
1.0
-4.052 6.038 3.478
-6.670 -4.525 0.086
1.186 -1.667 4.277
Ag As Ba
4 2 4
Direct
0.619 0.119 0.000
0.381 0.881 0.000
0.881 0.619 0.000
0.119 0.381 0.000
0.500 0.500 0.000
0.000 0.000 0.000
0.311 0.189 0.500
0.689 0.811 0.500
0.811 0.311 0.500
0.189 0.689 0.500
```


Entry b
Material: Ba2Ag2As
Method: DFT, PBE
State: optimized geometry

Geometry as POSCAR:
```
Ba2Ag2As
1.0
-3.099 -0.935 -2.464
2.627 -0.797 -3.002
0.243 -9.849 0.073
Ba As Ag
2 1 2
Direct
0.593 0.593 0.813
0.407 0.407 0.187
0.000 0.000 0.000
0.250 0.750 0.500
0.750 0.250 0.500
```


Entry c
Material: Ba2Ag2As
Method: DFT, PBE
State: optimized geometry

Geometry as POSCAR:
```
Ba2Ag2As
1.0
-6.235 0.649 -1.391
0.101 -5.633 -3.082
-4.028 -4.381 1.186
Ag Ba As
2 2 1
Direct
0.336 0.336 0.328
0.664 0.664 0.672
0.750 0.250 0.500
0.250 0.750 0.500
0.000 0.000 0.000
```


Which structure is the most stable? The one labeled entry b.